Crystalline CeDyHg3 at its relaxed geometry, computed with GGA-PBE.

abc: 14.8638 14.8638 4.9986
angles: 90.00 90.00 166.41
Sites, in units of the cell vectors:
Ce 0.0757 0.9243 0.7500
Ce 0.9243 0.0757 0.2500
Dy 0.2114 0.7886 0.2500
Dy 0.7886 0.2114 0.7500
Hg 0.3182 0.6818 0.2500
Hg 0.3769 0.6231 0.7500
Hg 0.4755 0.5245 0.7500
Hg 0.5245 0.4755 0.2500
Hg 0.6231 0.3769 0.2500
Hg 0.6818 0.3182 0.7500

Properties
- uncorrected energy (eV per atom) = -2.665
- ΔE to the lowest computed polymorph (kJ/mol of atoms) = 0.0
- formation energy (eV per atom) = -0.377


Crystalline Li2CdPd at its relaxed geometry, computed with GGA-PBE.

abc: 4.6776 4.6776 2.9385
angles: 90.00 90.00 102.60
Sites, in units of the cell vectors:
Li 0.0000 0.5000 0.0000
Li 0.5000 0.0000 0.0000
Cd 0.0000 0.0000 0.5000
Pd 0.5000 0.5000 0.5000

Properties
- uncorrected energy (eV per atom) = -2.818
- formation energy (eV per atom) = -0.334


Crystalline NaSr2La at its relaxed geometry, computed with GGA-PBE.

abc: 7.8536 7.8536 7.8536
angles: 103.67 103.67 121.82
Sites, in units of the cell vectors:
Na 0.0000 0.0000 0.0000
Na 0.7500 0.2500 0.5000
Sr 0.0953 0.6250 0.9703
Sr 0.3750 0.3453 0.4703
Sr 0.6547 0.1250 0.0297
Sr 0.8750 0.9047 0.5297
La 0.2500 0.7500 0.5000
La 0.5000 0.5000 0.0000

Properties
- uncorrected energy (eV per atom) = -2.028
- ΔE to the lowest computed polymorph (kJ/mol of atoms) = 26.9
- formation energy (eV per atom) = 0.375